# 1
A geometry-optimized PuThNp2N4 structure. Source: Alexandria, functional PBE-GGA.

Cell: 6.039 3.501 6.116 Å, 90.00 109.34 90.00°
Element x y z (fractional)
Pu (0.000, 0.000, 0.000)
Th (0.500, 0.500, 0.000)
Np (0.000, 0.500, 0.500)
Np (0.500, 0.000, 0.500)
N (0.238, 0.000, 0.725)
N (0.253, 0.500, 0.272)
N (0.747, 0.500, 0.728)
N (0.762, 0.000, 0.275)

Summary:
**Total energy**: -11.33 eV per atom

---

# 2
A geometry-optimized SmAs3Rh3 structure. Source: Alexandria, functional PBE-GGA.

Cell: 6.694 6.694 6.694 Å, 90.00 90.00 90.00°
Element x y z (fractional)
Sm (0.000, 0.000, 0.000)
Sm (0.500, 0.500, 0.500)
As (0.000, 0.250, 0.500)
As (0.000, 0.750, 0.500)
As (0.250, 0.500, 0.000)
As (0.500, 0.000, 0.250)
As (0.500, 0.000, 0.750)
As (0.750, 0.500, 0.000)
Rh (0.000, 0.500, 0.250)
Rh (0.000, 0.500, 0.750)
Rh (0.250, 0.000, 0.500)
Rh (0.500, 0.250, 0.000)
Rh (0.500, 0.750, 0.000)
Rh (0.750, 0.000, 0.500)

Summary:
**Formation energy**: -2.7 eV/f.u.
**Total energy**: -6.21 eV per atom

---

# 3
A geometry-optimized La2PmRh structure. Source: Alexandria, functional PBE-GGA.

Cell: 7.384 10.179 6.493 Å, 90.00 90.00 90.00°
Element x y z (fractional)
La (0.171, 0.067, 0.169)
La (0.171, 0.433, 0.169)
La (0.329, 0.567, 0.669)
La (0.329, 0.933, 0.669)
La (0.671, 0.067, 0.331)
La (0.671, 0.433, 0.331)
La (0.829, 0.567, 0.831)
La (0.829, 0.933, 0.831)
Pm (0.035, 0.250, 0.653)
Pm (0.465, 0.750, 0.153)
Pm (0.535, 0.250, 0.847)
Pm (0.965, 0.750, 0.347)
Rh (0.124, 0.750, 0.922)
Rh (0.376, 0.250, 0.422)
Rh (0.624, 0.750, 0.578)
Rh (0.876, 0.250, 0.078)

Summary:
**Formation energy**: -1.8 eV/f.u.
**Total energy**: -5.93 eV per atom
**Excess energy over the best structure of this formula in the dataset**: 0.00 kJ/mol of atoms

---

# 4
A geometry-optimized Mn3AlH3 structure. Source: Alexandria, functional PBE-GGA.

Cell: 7.310 7.310 2.728 Å, 90.00 90.00 120.00°
Element x y z (fractional)
Mn (0.038, 0.676, 0.250)
Mn (0.324, 0.362, 0.250)
Mn (0.362, 0.038, 0.750)
Mn (0.638, 0.962, 0.250)
Mn (0.676, 0.638, 0.750)
Mn (0.962, 0.324, 0.750)
Al (0.333, 0.667, 0.750)
Al (0.667, 0.333, 0.250)
H (0.046, 0.236, 0.250)
H (0.190, 0.954, 0.250)
H (0.236, 0.190, 0.750)
H (0.764, 0.810, 0.250)
H (0.810, 0.046, 0.750)
H (0.954, 0.764, 0.750)

Summary:
**Total energy**: -5.95 eV per atom
**Excess energy over the best structure of this formula in the dataset**: 1.49 kJ/mol of atoms

---

# 5
A geometry-optimized CaSmInBi structure. Source: Alexandria, functional PBE-GGA.

Cell: 7.828 7.828 7.828 Å, 90.00 90.00 90.00°
Element x y z (fractional)
Ca (0.000, 0.000, 0.000)
Ca (0.000, 0.500, 0.500)
Ca (0.500, 0.000, 0.500)
Ca (0.500, 0.500, 0.000)
Sm (0.000, 0.000, 0.500)
Sm (0.000, 0.500, 0.000)
Sm (0.500, 0.000, 0.000)
Sm (0.500, 0.500, 0.500)
In (0.250, 0.250, 0.250)
In (0.250, 0.750, 0.750)
In (0.750, 0.250, 0.750)
In (0.750, 0.750, 0.250)
Bi (0.250, 0.250, 0.750)
Bi (0.250, 0.750, 0.250)
Bi (0.750, 0.250, 0.250)
Bi (0.750, 0.750, 0.750)

Summary:
**Formation energy**: -2.0 eV/f.u.
**Total energy**: -3.83 eV per atom

---

# 6
A geometry-optimized Mg2TiZn2 structure. Source: Alexandria, functional PBE-GGA.

Cell: 7.880 7.880 2.810 Å, 90.00 90.00 90.00°
Element x y z (fractional)
Mg (0.129, 0.371, 0.000)
Mg (0.371, 0.871, 0.000)
Mg (0.629, 0.129, 0.000)
Mg (0.871, 0.629, 0.000)
Ti (0.000, 0.000, 0.000)
Ti (0.500, 0.500, 0.000)
Zn (0.172, 0.672, 0.500)
Zn (0.328, 0.172, 0.500)
Zn (0.672, 0.828, 0.500)
Zn (0.828, 0.328, 0.500)

Summary:
**Formation energy**: 0.5 eV/f.u.
**Total energy**: -2.63 eV per atom
**Excess energy over the best structure of this formula in the dataset**: 4.78 kJ/mol of atoms

---

# 7
A geometry-optimized Mg2Bi structure. Source: Alexandria, functional PBE-GGA.

Cell: 6.407 6.380 8.197 Å, 90.00 112.06 90.00°
Element x y z (fractional)
Mg (0.149, 0.000, 0.311)
Mg (0.250, 0.250, 0.000)
Mg (0.250, 0.750, 0.000)
Mg (0.351, 0.500, 0.689)
Mg (0.649, 0.500, 0.311)
Mg (0.750, 0.250, 0.000)
Mg (0.750, 0.750, 0.000)
Mg (0.851, 0.000, 0.689)
Bi (0.139, 0.500, 0.290)
Bi (0.361, 0.000, 0.710)
Bi (0.639, 0.000, 0.290)
Bi (0.861, 0.500, 0.710)

Summary:
**Formation energy**: -0.5 eV/f.u.
**Total energy**: -2.51 eV per atom

---

# 8
A geometry-optimized Hf6TaSn structure. Source: Alexandria, functional PBE-GGA.

Cell: 5.571 5.571 5.571 Å, 90.05 90.05 90.05°
Element x y z (fractional)
Hf (0.000, 0.255, 0.501)
Hf (0.000, 0.745, 0.499)
Hf (0.255, 0.501, 0.000)
Hf (0.499, 0.000, 0.745)
Hf (0.501, 0.000, 0.255)
Hf (0.745, 0.499, 0.000)
Ta (0.500, 0.500, 0.500)
Sn (0.000, 0.000, 0.000)

Summary:
**Formation energy**: -0.4 eV/f.u.
**Total energy**: -9.50 eV per atom